# Cd3Bi12Au5

A relaxed structure of Cd3Bi12Au5 (GGA-PBE, Alexandria).

The structure in CIF format:
```
data_Cd3Bi12Au5
_chemical_formula_sum 'Cd24 Bi96 Au40'
_symmetry_space_group_name_H-M 'I a -3 d'
_symmetry_Int_Tables_number 230
_symmetry_space_group_name_Hall '-I 4bd 2c 3'
_cell_length_a 17.2712
_cell_length_b 17.2712
_cell_length_c 17.2712
_cell_angle_alpha 90.00
_cell_angle_beta 90.00
_cell_angle_gamma 90.00
loop_
_atom_site_label
_atom_site_fract_x
_atom_site_fract_y
_atom_site_fract_z
Cd1 0.0000 0.2500 0.1250
Bi1 0.0289 0.0796 0.6454
Au1 0.0000 0.0000 0.0000
Au2 0.0000 0.2500 0.3750
```

Properties
The value obtained for the density is 9.9 g/cm3. For the energy relative to the elements, the calculation gives 112.1 meV per atom.

# Cd2BiAu

A relaxed structure of Cd2BiAu (GGA-PBE, Alexandria).

The structure in CIF format:
```
data_Cd2BiAu
_chemical_formula_sum 'Cd6 Bi3 Au3'
_symmetry_space_group_name_H-M 'R 3 m'
_symmetry_Int_Tables_number 160
_symmetry_space_group_name_Hall 'R 3 -2"'
_cell_length_a 4.7031
_cell_length_b 4.7031
_cell_length_c 16.1236
_cell_angle_alpha 90.00
_cell_angle_beta 90.00
_cell_angle_gamma 120.00
loop_
_atom_site_label
_atom_site_fract_x
_atom_site_fract_y
_atom_site_fract_z
Cd1 0.0000 0.0000 0.0000
Cd2 0.0000 0.0000 0.2107
Bi1 0.0000 0.0000 0.4293
Au1 0.0000 0.0000 0.6119
```

Properties
The value obtained for the density is 10.2 g/cm3. For the energy relative to the elements, the calculation gives -30.4 meV per atom.

Among the records above, which one has the highest density?
Cd2BiAu

Among the records above, which one has the lowest energy relative to the elements?
Cd2BiAu

What is the formula in the first record?
Cd3Bi12Au5

What is the energy relative to the elements in the first record?
112.1 meV per atom